LaErCoPt, relaxed, DFT PBE; symmetry = F-43m (216); energy of formation from the pure elements = -0.564 eV per atom; volume = 21.5 Å³ per atom; crystal system = cubic
1.0
4.9563 0.0000 0.0000
2.4782 4.2923 0.0000
2.4782 1.4308 4.0468
Pt La Co Er
1 1 1 1
Direct
0.7500 0.7500 0.7500 Pt
0.5000 0.5000 0.5000 La
0.2500 0.2500 0.2500 Co
0.0000 0.0000 0.0000 Er